(1)
Computed, not measured: an optimized crystal structure of CuGeTe at the PBE level of DFT.

Properties
* calculated total energy: -43.1 eV per cell

Cell lengths 7.709, 3.926, 8.387 Å; angles 90.00, 90.00, 90.00 degrees
Element x y z (fractional)
Cu (0.135, 0.250, 0.166)
Cu (0.365, 0.750, 0.666)
Cu (0.635, 0.250, 0.334)
Cu (0.865, 0.750, 0.834)
Ge (0.120, 0.250, 0.466)
Ge (0.380, 0.750, 0.966)
Ge (0.620, 0.250, 0.034)
Ge (0.880, 0.750, 0.534)
Te (0.133, 0.250, 0.844)
Te (0.367, 0.750, 0.344)
Te (0.633, 0.250, 0.656)
Te (0.867, 0.750, 0.156)

***

(2)
Computed, not measured: an optimized crystal structure of Cu2Ag3 at the PBE level of DFT.

Properties
* calculated formation energy: 0.08 eV/atom
* ΔE to the lowest computed polymorph: 48.2 meV per atom

Cell lengths 4.960, 4.960, 11.523 Å; angles 98.12, 98.12, 33.63 degrees
Element x y z (fractional)
Cu (0.000, 0.000, 0.000)
Cu (0.101, 0.101, 0.689)
Cu (0.173, 0.173, 0.404)
Cu (0.513, 0.513, 0.511)
Ag (0.303, 0.303, 0.099)
Ag (0.405, 0.405, 0.797)
Ag (0.591, 0.591, 0.204)
Ag (0.691, 0.691, 0.893)
Ag (0.802, 0.802, 0.587)
Ag (0.884, 0.884, 0.324)

***

(3)
Computed, not measured: an optimized crystal structure of KPrMgTe3 at the PBE level of DFT.

Properties
* calculated total energy: -95.9 eV per cell

Cell lengths 12.796, 4.731, 13.828 Å; angles 90.00, 90.00, 90.00 degrees
Element x y z (fractional)
K (0.169, 0.250, 0.007)
K (0.331, 0.750, 0.507)
K (0.669, 0.250, 0.493)
K (0.831, 0.750, 0.993)
Pr (0.024, 0.250, 0.327)
Pr (0.476, 0.750, 0.827)
Pr (0.524, 0.250, 0.173)
Pr (0.976, 0.750, 0.673)
Mg (0.246, 0.250, 0.712)
Mg (0.254, 0.750, 0.212)
Mg (0.746, 0.250, 0.788)
Mg (0.754, 0.750, 0.288)
Te (0.044, 0.750, 0.167)
Te (0.104, 0.250, 0.560)
Te (0.217, 0.750, 0.817)
Te (0.283, 0.250, 0.317)
Te (0.396, 0.750, 0.060)
Te (0.456, 0.250, 0.667)
Te (0.544, 0.750, 0.333)
Te (0.604, 0.250, 0.940)
Te (0.717, 0.750, 0.683)
Te (0.783, 0.250, 0.183)
Te (0.896, 0.750, 0.440)
Te (0.956, 0.250, 0.833)

***

(4)
Computed, not measured: an optimized crystal structure of ScGaNiAg at the PBE level of DFT.

Properties
* calculated total energy: -18.9 eV per cell

Cell lengths 4.503, 4.503, 4.503 Å; angles 60.00, 60.00, 60.00 degrees
Element x y z (fractional)
Sc (0.000, 0.000, 0.000)
Ga (0.250, 0.250, 0.250)
Ni (0.500, 0.500, 0.500)
Ag (0.750, 0.750, 0.750)

***

(5)
Computed, not measured: an optimized crystal structure of SmTmZnNi2 at the PBE level of DFT.

Properties
* calculated formation energy: -0.45 eV/atom

Cell lengths 5.309, 5.309, 5.309 Å; angles 132.92, 119.14, 80.33 degrees
Element x y z (fractional)
Sm (0.000, 0.000, 0.000)
Tm (0.406, 0.406, 0.000)
Zn (0.704, 0.204, 0.500)
Ni (0.433, 0.704, 0.730)
Ni (0.974, 0.704, 0.270)

***

(6)
Computed, not measured: an optimized crystal structure of Ga2Co at the PBE level of DFT.

Properties
* calculated total energy: -23.5 eV per cell

Cell lengths 4.988, 4.988, 4.988 Å; angles 60.00, 60.00, 60.00 degrees
Element x y z (fractional)
Ga (0.000, 0.000, 0.000)
Ga (0.000, 0.000, 0.500)
Ga (0.000, 0.500, 0.000)
Ga (0.500, 0.000, 0.000)
Co (0.375, 0.375, 0.375)
Co (0.625, 0.625, 0.625)

***

(7)
Computed, not measured: an optimized crystal structure of NdGd2P3 at the PBE level of DFT.

Properties
* calculated total energy: -39.8 eV per cell

Cell lengths 4.090, 4.090, 10.009 Å; angles 90.00, 90.00, 120.00 degrees
Element x y z (fractional)
Nd (0.000, 0.000, 0.000)
Gd (0.333, 0.667, 0.336)
Gd (0.667, 0.333, 0.664)
P (0.000, 0.000, 0.500)
P (0.333, 0.667, 0.827)
P (0.667, 0.333, 0.173)

***

(8)
Computed, not measured: an optimized crystal structure of CsInCuSe3 at the PBE level of DFT.

Properties
* ΔE to the lowest computed polymorph: 0.0 meV per atom

Cell lengths 9.706, 4.018, 10.072 Å; angles 90.00, 111.25, 90.00 degrees
Element x y z (fractional)
Cs (0.208, 0.250, 0.243)
Cs (0.792, 0.750, 0.757)
In (0.337, 0.750, 0.877)
In (0.663, 0.250, 0.123)
Cu (0.074, 0.250, 0.593)
Cu (0.926, 0.750, 0.407)
Se (0.134, 0.250, 0.853)
Se (0.188, 0.750, 0.543)
Se (0.484, 0.750, 0.165)
Se (0.516, 0.250, 0.835)
Se (0.812, 0.250, 0.457)
Se (0.866, 0.750, 0.147)